No. 1
Density functional theory data (GGA-PBE) for an optimized crystal structure of CaSm12Er7.

a b c (Å): 11.5369 11.5369 11.5369
angles (deg): 90.00 90.00 90.00
Last column: nearest neighbours and their distance in Å.
Space group Im-3m (No. 229)
Asymmetric unit:
Ca 0.0000 0.0000 0.0000 [2 per cell]  12 Sm 4.29
Sm 0.0000 0.2628 0.2628 [24 per cell]  2 Er 2.89
Er 0.0000 0.0000 0.5000 [6 per cell]  12 Sm 3.87-4.08
Er 0.2500 0.2500 0.2500 [8 per cell]  6 Sm 2.89

Summary:
Total energy: -3.872 eV per atom

No. 2
Density functional theory data (GGA-PBE) for an optimized crystal structure of CrTc2Pt.

a b c (Å): 9.0269 2.7096 4.7360
angles (deg): 90.00 100.17 90.00
Last column: nearest neighbours and their distance in Å.
Space group Cm (No. 8)
Asymmetric unit:
Cr 0.0000 0.0000 0.0000 [2 per cell]  7 Tc 2.65-2.81, 2 Cr 2.71, 3 Pt 2.71-2.73
Tc 0.2409 0.5000 0.2428 [2 per cell]  3 Cr 2.65-2.78, 5 Tc 2.65-2.73, 4 Pt 2.71-2.74
Tc 0.4959 0.0000 0.4788 [2 per cell]  4 Cr 2.65-2.81, 5 Tc 2.65-2.73, 3 Pt 2.76-2.77
Pt 0.2481 0.0000 0.7491 [2 per cell]  2 Pt 2.71, 7 Tc 2.71-2.77, 3 Cr 2.71-2.73

Summary:
Relative energy among the computed polymorphs: 90 meV per atom

No. 3
Density functional theory data (GGA-PBE) for an optimized crystal structure of Ac4SnPt2.

a b c (Å): 10.0122 10.0122 9.6866
angles (deg): 90.00 90.00 90.00
Last column: nearest neighbours and their distance in Å.
Space group I-42d (No. 122)
Asymmetric unit:
Ac 0.0493 0.6808 0.4212 [16 per cell]  3 Pt 2.96-3.24
Sn 0.0000 0.0000 0.5000 [4 per cell]  8 Ac 3.32-3.70
Pt 0.0694 0.7500 0.1250 [8 per cell]  6 Ac 2.96-3.24

Summary:
Relative energy among the computed polymorphs: 65 meV per atom

No. 4
Density functional theory data (GGA-PBE) for an optimized crystal structure of HRhS2.

a b c (Å): 6.4198 3.1074 12.1763
angles (deg): 90.00 90.00 90.00
Last column: nearest neighbours and their distance in Å.
Space group Pnma (No. 62)
Asymmetric unit:
H 0.0121 0.2500 0.1703 [4 per cell]  2 S 1.63
Rh 0.0879 0.2500 0.6204 [4 per cell]  5 S 2.31-2.43
S 0.0655 0.7500 0.2011 [4 per cell]  2 H 1.63
S 0.2044 0.7500 0.4939 [4 per cell]  3 Rh 2.31-2.34

Summary:
Relative energy among the computed polymorphs: 226 meV per atom

No. 5
Density functional theory data (GGA-PBE) for an optimized crystal structure of LaCrMo2.

a b c (Å): 3.0038 4.1508 6.4733
angles (deg): 90.00 101.73 90.00
Last column: nearest neighbours and their distance in Å.
Space group Pm (No. 6)
Asymmetric unit:
La 0.0000 0.0000 0.0000 [1 per cell]  2 La 3.00, 2 Cr 3.12, 3 Mo 3.18-3.24
Cr 0.2148 0.5000 0.6736 [1 per cell]  3 Mo 2.30-2.49
Mo 0.4745 0.0000 0.5218 [1 per cell]  2 Cr 2.49, 2 Mo 2.59
Mo 0.7509 0.5000 0.3430 [1 per cell]  1 Cr 2.30

Summary:
Relative energy among the computed polymorphs: 100 meV per atom

No. 6
Density functional theory data (GGA-PBE) for an optimized crystal structure of Ce2Al2Ge.

a b c (Å): 3.8037 3.8037 16.8754
angles (deg): 90.00 90.00 90.00
Last column: nearest neighbours and their distance in Å.
Space group I4/mmm (No. 139)
Asymmetric unit:
Ce 0.0000 0.0000 0.0881 [4 per cell]  1 Ce 2.97, 4 Ge 3.07
Al 0.0000 0.5000 0.2500 [4 per cell]  4 Al 2.69
Ge 0.0000 0.0000 0.5000 [2 per cell]  8 Ce 3.07

Summary:
Relative energy among the computed polymorphs: 211 meV per atom

No. 7
Density functional theory data (GGA-PBE) for an optimized crystal structure of NdGdBiBr.

a b c (Å): 7.7112 7.7112 7.7112
angles (deg): 90.00 90.00 90.00
Last column: nearest neighbours and their distance in Å.
Space group F-43m (No. 216)
Asymmetric unit:
Nd 0.0000 0.0000 0.0000 [4 per cell]  4 Bi 3.34, 4 Br 3.34
Gd 0.0000 0.0000 0.5000 [4 per cell]  4 Br 3.34, 4 Bi 3.34
Bi 0.2500 0.2500 0.7500 [4 per cell]  4 Gd 3.34, 4 Nd 3.34
Br 0.2500 0.2500 0.2500 [4 per cell]  4 Gd 3.34, 4 Nd 3.34

Summary:
Formation energy without anion corrections: -0.952 eV/atom

No. 8
Density functional theory data (GGA-PBE) for an optimized crystal structure of Li2Tb2YGa2.

a b c (Å): 4.5923 4.5923 26.5380
angles (deg): 90.00 90.00 120.00
Last column: nearest neighbours and their distance in Å.
Space group R-3m (No. 166, hexagonal axes)
Asymmetric unit:
Li 0.0000 0.0000 0.1038 [6 per cell]  3 Ga 2.66
Tb 0.0000 0.0000 0.3739 [6 per cell]  3 Ga 3.03, 3 Li 3.14, 1 Y 3.35
Y 0.0000 0.0000 0.5000 [3 per cell]  6 Li 3.13, 6 Ga 3.25, 2 Tb 3.35
Ga 0.0000 0.0000 0.2378 [6 per cell]  3 Li 2.66

Summary:
Total energy: -3.947 eV per atom

| no. | size of the total moment (μB/atom) |
| --- | --- |
| 1 | 0.000 |
| 2 | 0.274 |
| 3 | 0.000 |
| 4 | 0.000 |
| 5 | 0.000 |
| 6 | 0.365 |
| 7 | 2.052 |
| 8 | 0.000 |